# 1
! AcCeP2 (GGA-PBE, optimized geometry); values from VASP
! energy of formation from the pure elements: -1.112 eV per atom
! polymorph energy (0 for the lowest one): 344 meV per atom
&SYSTEM
  ibrav = 0, nat = 4, ntyp = 3
/
ATOMIC_SPECIES
Ac 227.00 Ac.upf
Ce 140.12 Ce.upf
P 30.97 P.upf
ATOMIC_POSITIONS crystal
Ac 0.000 0.000 0.000
Ce 0.000 0.000 0.500
P 0.500 0.500 0.268
P 0.500 0.500 0.732
CELL_PARAMETERS angstrom
3.628 0.000 0.000
0.000 3.628 0.000
0.000 0.000 7.259

***

# 2
! K2NaCd7 (GGA-PBE, optimized geometry); values from VASP
! energy of formation from the pure elements: -0.065 eV per atom
&SYSTEM
  ibrav = 0, nat = 10, ntyp = 3
/
ATOMIC_SPECIES
K 39.10 K.upf
Na 22.99 Na.upf
Cd 112.41 Cd.upf
ATOMIC_POSITIONS crystal
K 0.000 0.500 0.236
K 0.500 0.000 0.764
Na 0.000 0.000 0.500
Cd 0.000 0.000 0.000
Cd 0.000 0.500 0.650
Cd 0.000 0.500 0.866
Cd 0.500 0.000 0.134
Cd 0.500 0.000 0.350
Cd 0.500 0.500 0.000
Cd 0.500 0.500 0.500
CELL_PARAMETERS angstrom
4.775 0.000 0.000
0.000 4.775 0.000
0.000 0.000 13.380

***

# 3
! BaO2F (GGA-PBE, optimized geometry); values from VASP
! raw formation energy: -1.1034 eV/atom
! polymorph energy (0 for the lowest one): 954 meV per atom
&SYSTEM
  ibrav = 0, nat = 4, ntyp = 3
/
ATOMIC_SPECIES
Ba 137.33 Ba.upf
O 16.00 O.upf
F 19.00 F.upf
ATOMIC_POSITIONS crystal
Ba 0.000 0.000 0.000
O 0.250 0.250 0.250
O 0.750 0.750 0.750
F 0.500 0.500 0.500
CELL_PARAMETERS angstrom
0.000 3.176 3.176
3.176 0.000 3.176
3.176 3.176 0.000

***

# 4
! NaEuSbPb (GGA-PBE, optimized geometry); values from VASP
! raw formation energy: -0.4277 eV/atom
&SYSTEM
  ibrav = 0, nat = 4, ntyp = 4
/
ATOMIC_SPECIES
Na 22.99 Na.upf
Eu 151.96 Eu.upf
Sb 121.76 Sb.upf
Pb 207.20 Pb.upf
ATOMIC_POSITIONS crystal
Na 0.000 0.000 0.000
Eu 0.500 0.500 0.500
Sb 0.250 0.250 0.250
Pb 0.750 0.750 0.750
CELL_PARAMETERS angstrom
0.000 3.901 3.901
3.901 0.000 3.901
3.901 3.901 0.000

***

# 5
! FeAs2W (GGA-PBE, optimized geometry); values from VASP
! energy of formation from the pure elements: 0.464 eV per atom
! polymorph energy (0 for the lowest one): 391 meV per atom
&SYSTEM
  ibrav = 0, nat = 4, ntyp = 3
/
ATOMIC_SPECIES
Fe 55.84 Fe.upf
As 74.92 As.upf
W 183.84 W.upf
ATOMIC_POSITIONS crystal
Fe 0.000 0.000 0.000
As 0.500 0.500 0.000
As 0.750 0.250 0.500
W 0.250 0.750 0.500
CELL_PARAMETERS angstrom
-1.945 1.945 3.975
1.945 -1.945 3.975
1.945 1.945 -3.975

***

# 6
! MnAg2Pt (GGA-PBE, optimized geometry); values from VASP
! energy of formation from the pure elements: 0.058 eV per atom
! polymorph energy (0 for the lowest one): 103 meV per atom
&SYSTEM
  ibrav = 0, nat = 4, ntyp = 3
/
ATOMIC_SPECIES
Mn 54.94 Mn.upf
Ag 107.87 Ag.upf
Pt 195.08 Pt.upf
ATOMIC_POSITIONS crystal
Mn 0.000 0.000 0.000
Ag 0.248 0.500 0.751
Ag 0.752 0.500 0.249
Pt 0.500 0.000 0.500
CELL_PARAMETERS angstrom
2.858 0.000 0.000
0.000 4.878 0.000
-0.226 0.000 4.791

***

# 7
! HgSbTe2 (GGA-PBE, optimized geometry); values from VASP
! raw formation energy: 0.2532 eV/atom
! polymorph energy (0 for the lowest one): 333 meV per atom
&SYSTEM
  ibrav = 0, nat = 4, ntyp = 3
/
ATOMIC_SPECIES
Hg 200.59 Hg.upf
Sb 121.76 Sb.upf
Te 127.60 Te.upf
ATOMIC_POSITIONS crystal
Hg 0.000 0.000 0.000
Sb 0.500 0.500 0.500
Te 0.242 0.242 0.242
Te 0.758 0.758 0.758
CELL_PARAMETERS angstrom
1.659 0.958 12.410
-1.659 0.958 12.410
0.000 -1.916 12.410

***

# 8
! KSrLa2Br (GGA-PBE, optimized geometry); values from VASP
! raw formation energy: 0.7720 eV/atom
! polymorph energy (0 for the lowest one): 81 meV per atom
&SYSTEM
  ibrav = 0, nat = 5, ntyp = 4
/
ATOMIC_SPECIES
K 39.10 K.upf
Sr 87.62 Sr.upf
La 138.91 La.upf
Br 79.90 Br.upf
ATOMIC_POSITIONS crystal
K 0.000 0.000 0.000
Sr 0.000 0.000 0.500
La 0.000 0.500 0.000
La 0.500 0.000 0.000
Br 0.500 0.500 0.500
CELL_PARAMETERS angstrom
5.892 0.000 0.000
0.000 5.892 0.000
0.000 0.000 6.699

***

# 9
! SiNiAsP (GGA-PBE, optimized geometry); values from VASP
! raw formation energy: -0.0481 eV/atom
! polymorph energy (0 for the lowest one): 129 meV per atom
&SYSTEM
  ibrav = 0, nat = 4, ntyp = 4
/
ATOMIC_SPECIES
Si 28.09 Si.upf
Ni 58.69 Ni.upf
As 74.92 As.upf
P 30.97 P.upf
ATOMIC_POSITIONS crystal
Si 0.000 0.000 0.000
Ni 0.869 0.261 0.575
As 0.330 0.339 0.243
P 0.584 0.829 0.705
CELL_PARAMETERS angstrom
3.450 0.000 0.000
1.718 3.535 0.000
0.000 0.902 5.226

***

# 10
! Pm8Al2Co (GGA-PBE, optimized geometry); values from VASP
! energy of formation from the pure elements: -0.123 eV per atom
&SYSTEM
  ibrav = 0, nat = 11, ntyp = 3
/
ATOMIC_SPECIES
Pm 145.00 Pm.upf
Al 26.98 Al.upf
Co 58.93 Co.upf
ATOMIC_POSITIONS crystal
Pm 0.018 0.018 0.280
Pm 0.209 0.209 0.795
Pm 0.353 0.353 0.533
Pm 0.407 0.407 0.049
Pm 0.593 0.593 0.951
Pm 0.647 0.647 0.467
Pm 0.791 0.791 0.205
Pm 0.982 0.982 0.720
Al 0.188 0.188 0.243
Al 0.812 0.812 0.757
Co 0.500 0.500 0.500
CELL_PARAMETERS angstrom
9.195 -2.565 0.000
9.195 2.565 0.000
-1.464 0.000 6.647

***

# 11
! TmSn2Pt9 (GGA-PBE, optimized geometry); values from VASP
! energy of formation from the pure elements: -0.631 eV per atom
&SYSTEM
  ibrav = 0, nat = 12, ntyp = 3
/
ATOMIC_SPECIES
Tm 168.93 Tm.upf
Sn 118.71 Sn.upf
Pt 195.08 Pt.upf
ATOMIC_POSITIONS crystal
Tm 0.000 0.000 0.000
Sn 0.000 0.000 0.332
Sn 0.000 0.000 0.668
Pt 0.000 0.500 0.168
Pt 0.000 0.500 0.500
Pt 0.000 0.500 0.832
Pt 0.500 0.000 0.168
Pt 0.500 0.000 0.500
Pt 0.500 0.000 0.832
Pt 0.500 0.500 0.000
Pt 0.500 0.500 0.336
Pt 0.500 0.500 0.664
CELL_PARAMETERS angstrom
4.069 0.000 0.000
0.000 4.069 0.000
0.000 0.000 12.211

***

# 12
! KPmSb4 (GGA-PBE, optimized geometry); values from VASP
! raw formation energy: -0.2112 eV/atom
&SYSTEM
  ibrav = 0, nat = 6, ntyp = 3
/
ATOMIC_SPECIES
K 39.10 K.upf
Pm 145.00 Pm.upf
Sb 121.76 Sb.upf
ATOMIC_POSITIONS crystal
K 0.000 0.000 0.000
Pm 0.750 0.750 0.750
Sb 0.375 0.375 0.375
Sb 0.375 0.375 0.874
Sb 0.375 0.874 0.375
Sb 0.874 0.375 0.375
CELL_PARAMETERS angstrom
0.000 4.527 4.527
4.527 0.000 4.527
4.527 4.527 0.000